# CuRhS2, relaxed, DFT PBE-GGA
# **Calculated volume**: 18.48 Å³/atom
# **Space-group type**: No. 11
# **Energy relative to the elements, uncorrected**: -1.38 eV/f.u.
data_CuRhS2
_cell_length_a 3.582
_cell_length_b 6.214
_cell_length_c 6.958
_cell_angle_alpha 107.34
_cell_angle_beta 90.00
_cell_angle_gamma 90.00
_space_group_name_H-M_alt 'P 1'
_space_group_IT_number 1
_space_group_name_Hall 'P 1'
loop_
_atom_site_label
_atom_site_fract_x
_atom_site_fract_y
_atom_site_fract_z
_atom_site_occupancy
Cu1 0.250 0.185 0.003 1
Cu2 0.750 0.815 0.997 1
Rh1 0.250 0.750 0.490 1
Rh2 0.750 0.250 0.510 1
S1 0.750 0.866 0.318 1
S2 0.250 0.348 0.325 1
S3 0.750 0.652 0.675 1
S4 0.250 0.134 0.682 1